! Cu2O2F | Alexandria | GGA-PBE | relaxed; values from VASP
! **M_tot**: 0.00 μB per formula unit
! **DOS(E_F)**: 0.84 states/eV/atom
! **Space-group type**: No. 139
! **ρ**: 4.181 g cm⁻³
! **ΔE_f (raw)**: -17.08 kcal/mol of atoms
&SYSTEM
  ibrav = 0, nat = 5, ntyp = 3
/
ATOMIC_SPECIES
O 16.00 O.upf
Cu 63.55 Cu.upf
F 19.00 F.upf
ATOMIC_POSITIONS crystal
O 0.250 0.750 0.500
O 0.750 0.250 0.500
Cu 0.191 0.191 0.617
Cu 0.809 0.809 0.383
F 0.000 0.000 0.000
CELL_PARAMETERS angstrom
3.717 0.000 0.000
0.000 3.717 0.000
1.858 1.858 5.121


! Cu3OF | Alexandria | GGA-PBE | relaxed; values from VASP
! **Excess energy over the best structure of this formula in the dataset**: 0.0000 eV per atom
! **M_tot**: 0.00 μB per formula unit
! **DOS(E_F)**: 0.03 states/eV/atom
! **Space-group type**: No. 221
! **ρ**: 6.267 g cm⁻³
! **ΔE_f (raw)**: -9.79 kcal/mol of atoms
&SYSTEM
  ibrav = 0, nat = 5, ntyp = 3
/
ATOMIC_SPECIES
Cu 63.55 Cu.upf
O 16.00 O.upf
F 19.00 F.upf
ATOMIC_POSITIONS crystal
Cu 0.000 0.500 0.000
Cu 0.000 0.000 0.500
Cu 0.500 0.000 0.000
O 0.000 0.000 0.000
F 0.500 0.500 0.500
CELL_PARAMETERS angstrom
-0.652 3.826 0.475
-1.277 -0.669 3.635
3.638 0.451 1.361